Record 1
DFT (PBE) results for crystalline Pm2Tl at its relaxed geometry.

Results
Formation enthalpy at 0 K in meV/atom: -220
SG: No. 139
Size of the total moment in μB per atom: 0.0000
E above lowest polymorph in eV/atom: 0.054
N(E_F) in states/eV per atom: 1.23

Geometry as POSCAR:
```
Pm2Tl
1.0
-1.859 1.859 6.859
1.859 -1.859 6.859
1.859 1.859 -6.859
Pm Tl
2 1
direct
0.155 0.155 0.000 Pm
0.845 0.845 0.000 Pm
0.500 0.500 0.000 Tl
```

***

Record 2
DFT (PBE) results for crystalline BaLa2Y at its relaxed geometry.

Results
Formation enthalpy at 0 K in meV/atom: 128
SG: No. 47
Size of the total moment in μB per atom: 0.0000
E above lowest polymorph in eV/atom: 0.022
N(E_F) in states/eV per atom: 1.42

Geometry as POSCAR:
```
BaLa2Y
1.0
3.842 0.000 0.000
0.000 5.107 0.000
0.000 0.000 8.242
Ba La Y
1 2 1
direct
0.000 0.000 0.000 Ba
0.500 0.500 0.293 La
0.500 0.500 0.707 La
0.000 0.000 0.500 Y
```

***

Record 3
DFT (PBE) results for crystalline LiBeTe2 at its relaxed geometry.

Results
SG: No. 12
Size of the total moment in μB per atom: 0.0000
Uncorrected formation energy in eV per formula unit: -1.19
N(E_F) in states/eV per atom: 0.39

Geometry as POSCAR:
```
LiBeTe2
1.0
3.286 -1.804 0.000
3.286 1.804 0.000
-1.986 0.000 7.223
Li Be Te
1 1 2
direct
0.000 0.000 0.000 Li
0.500 0.500 0.500 Be
0.243 0.243 0.715 Te
0.757 0.757 0.285 Te
```

***

Record 4
DFT (PBE) results for crystalline CrOs2Au at its relaxed geometry.

Results
Formation enthalpy at 0 K in meV/atom: 356
SG: No. 160
Size of the total moment in μB per atom: 0.0346
E above lowest polymorph in eV/atom: 0.094
N(E_F) in states/eV per atom: 1.25

Geometry as POSCAR:
```
CrOs2Au
1.0
1.373 0.793 9.009
-1.373 0.793 9.009
0.000 -1.585 9.009
Cr Os Au
1 2 1
direct
0.000 0.000 0.000 Cr
0.258 0.258 0.258 Os
0.510 0.510 0.510 Os
0.752 0.752 0.752 Au
```

***

Record 5
DFT (PBE) results for crystalline LiPmSnI6 at its relaxed geometry.

Results
SG: No. 163
Size of the total moment in μB per atom: 0.0000
Uncorrected formation energy in eV per formula unit: -9.19
N(E_F) in states/eV per atom: 0.00

Geometry as POSCAR:
```
LiPmSnI6
1.0
7.713 0.000 0.000
-3.857 6.680 0.000
0.000 0.000 14.166
Li Pm Sn I
2 2 2 12
direct
0.333 0.667 0.250 Li
0.667 0.333 0.750 Li
0.333 0.667 0.750 Pm
0.667 0.333 0.250 Pm
0.000 0.000 0.000 Sn
0.000 0.000 0.500 Sn
0.009 0.351 0.127 I
0.009 0.658 0.373 I
0.342 0.351 0.373 I
0.342 0.991 0.127 I
0.351 0.009 0.627 I
0.351 0.342 0.873 I
0.649 0.658 0.127 I
0.649 0.991 0.373 I
0.658 0.009 0.873 I
0.658 0.649 0.627 I
0.991 0.342 0.627 I
0.991 0.649 0.873 I
```

***

Record 6
DFT (PBE) results for crystalline Fe2Mo2Ru at its relaxed geometry.

Results
Formation enthalpy at 0 K in meV/atom: 156
SG: No. 127
Size of the total moment in μB per atom: 0.0000
N(E_F) in states/eV per atom: 1.30

Geometry as POSCAR:
```
Fe2Mo2Ru
1.0
6.796 0.000 0.000
0.000 6.796 0.000
0.000 0.000 2.903
Fe Mo Ru
4 4 2
direct
0.128 0.372 0.000 Fe
0.372 0.872 0.000 Fe
0.628 0.128 0.000 Fe
0.872 0.628 0.000 Fe
0.173 0.673 0.500 Mo
0.327 0.173 0.500 Mo
0.673 0.827 0.500 Mo
0.827 0.327 0.500 Mo
0.000 0.000 0.000 Ru
0.500 0.500 0.000 Ru
```

***

Record 7
DFT (PBE) results for crystalline Cs2NaHfI6 at its relaxed geometry.

Results
SG: No. 225
Size of the total moment in μB per atom: 0.1000
E above lowest polymorph in eV/atom: 0.009
Uncorrected formation energy in eV per formula unit: -11.53
N(E_F) in states/eV per atom: 0.91

Geometry as POSCAR:
```
Cs2NaHfI6
1.0
0.000 6.069 6.069
6.069 0.000 6.069
6.069 6.069 0.000
Cs Na Hf I
2 1 1 6
direct
0.250 0.250 0.250 Cs
0.750 0.750 0.750 Cs
0.000 0.000 0.000 Na
0.500 0.500 0.500 Hf
0.261 0.261 0.739 I
0.261 0.739 0.261 I
0.261 0.739 0.739 I
0.739 0.261 0.261 I
0.739 0.261 0.739 I
0.739 0.739 0.261 I
```

***

Record 8
DFT (PBE) results for crystalline CoAg2Au at its relaxed geometry.

Results
Formation enthalpy at 0 K in meV/atom: 276
SG: No. 65
Size of the total moment in μB per atom: 0.4190
E above lowest polymorph in eV/atom: 0.076
N(E_F) in states/eV per atom: 0.80

Geometry as POSCAR:
```
CoAg2Au
1.0
1.516 -2.308 0.000
1.516 2.308 0.000
0.000 0.000 9.440
Co Ag Au
1 2 1
direct
0.000 0.000 0.000 Co
0.500 0.500 0.234 Ag
0.500 0.500 0.766 Ag
0.000 0.000 0.500 Au
```

***

Record 9
DFT (PBE) results for crystalline CaCdOs2 at its relaxed geometry.

Results
Formation enthalpy at 0 K in meV/atom: 293
SG: No. 25
Size of the total moment in μB per atom: 0.0000
N(E_F) in states/eV per atom: 0.94

Geometry as POSCAR:
```
CaCdOs2
1.0
2.872 0.000 0.000
0.000 3.716 0.000
0.000 0.000 7.503
Ca Cd Os
1 1 2
direct
0.000 0.000 0.000 Ca
0.500 0.500 0.318 Cd
0.000 0.000 0.576 Os
0.500 0.500 0.712 Os
```

***

Record 10
DFT (PBE) results for crystalline Sn2TeBr at its relaxed geometry.

Results
SG: No. 122
Size of the total moment in μB per atom: 0.0000
E above lowest polymorph in eV/atom: 0.076
Uncorrected formation energy in eV per formula unit: -0.69
N(E_F) in states/eV per atom: 0.66

Geometry as POSCAR:
```
Sn2TeBr
1.0
-4.193 4.193 3.720
4.193 -4.193 3.720
4.193 4.193 -3.720
Sn Te Br
4 2 2
direct
0.116 0.625 0.991 Sn
0.375 0.366 0.491 Sn
0.634 0.125 0.009 Sn
0.875 0.884 0.509 Sn
0.000 0.000 0.000 Te
0.750 0.250 0.500 Te
0.250 0.750 0.500 Br
0.500 0.500 0.000 Br
```

***

Record 11
DFT (PBE) results for crystalline CsPrTc2O7 at its relaxed geometry.

Results
SG: No. 123
Size of the total moment in μB per atom: 0.2744
Uncorrected formation energy in eV per formula unit: -20.62
N(E_F) in states/eV per atom: 0.68

Geometry as POSCAR:
```
CsPrTc2O7
1.0
3.929 0.000 0.000
0.000 3.929 0.000
0.000 0.000 10.947
Cs Pr Tc O
1 1 2 7
direct
0.000 0.000 0.000 Cs
0.000 0.000 0.500 Pr
0.500 0.500 0.308 Tc
0.500 0.500 0.692 Tc
0.000 0.500 0.341 O
0.000 0.500 0.659 O
0.500 0.000 0.341 O
0.500 0.000 0.659 O
0.500 0.500 0.146 O
0.500 0.500 0.500 O
0.500 0.500 0.854 O
```

***

Record 12
DFT (PBE) results for crystalline YCr2In at its relaxed geometry.

Results
Formation enthalpy at 0 K in meV/atom: 181
SG: No. 216
Size of the total moment in μB per atom: 0.0301
N(E_F) in states/eV per atom: 0.41

Geometry as POSCAR:
```
YCr2In
1.0
0.000 3.451 3.451
3.451 0.000 3.451
3.451 3.451 0.000
Y Cr In
1 2 1
direct
0.000 0.000 0.000 Y
0.250 0.250 0.250 Cr
0.500 0.500 0.500 Cr
0.750 0.750 0.750 In
```

***

Record 13
DFT (PBE) results for crystalline NaCe3Pr4S8 at its relaxed geometry.

Results
SG: No. 166
Size of the total moment in μB per atom: 0.1597
Uncorrected formation energy in eV per formula unit: -31.54
N(E_F) in states/eV per atom: 1.29

Geometry as POSCAR:
```
NaCe3Pr4S8
1.0
4.075 2.353 6.654
-4.075 2.353 6.654
0.000 -4.705 6.654
Na Ce Pr S
1 3 4 8
direct
0.000 0.000 0.000 Na
0.000 0.500 0.500 Ce
0.500 0.000 0.500 Ce
0.500 0.500 0.000 Ce
0.000 0.000 0.500 Pr
0.000 0.500 0.000 Pr
0.500 0.000 0.000 Pr
0.500 0.500 0.500 Pr
0.247 0.247 0.748 S
0.247 0.748 0.247 S
0.252 0.252 0.252 S
0.252 0.753 0.753 S
0.748 0.247 0.247 S
0.748 0.748 0.748 S
0.753 0.252 0.753 S
0.753 0.753 0.252 S
```

***

Record 14
DFT (PBE) results for crystalline La2ReMo at its relaxed geometry.

Results
Formation enthalpy at 0 K in meV/atom: 720
SG: No. 12
Size of the total moment in μB per atom: 0.0011
E above lowest polymorph in eV/atom: 0.542
N(E_F) in states/eV per atom: 1.34

Geometry as POSCAR:
```
La2ReMo
1.0
3.133 -4.784 0.000
3.133 4.784 0.000
-1.276 0.000 2.858
La Re Mo
2 1 1
direct
0.000 0.500 0.000 La
0.500 0.000 0.000 La
0.000 0.000 0.500 Re
0.500 0.500 0.500 Mo
```

***

Record 15
DFT (PBE) results for crystalline Sm2Er3Bi2 at its relaxed geometry.

Results
Formation enthalpy at 0 K in meV/atom: -462
SG: No. 12
Size of the total moment in μB per atom: 0.0001
N(E_F) in states/eV per atom: 1.06

Geometry as POSCAR:
```
Sm2Er3Bi2
1.0
6.131 -2.172 0.000
6.131 2.172 0.000
-2.871 0.000 8.205
Sm Er Bi
2 3 2
direct
0.126 0.126 0.278 Sm
0.874 0.874 0.722 Sm
0.376 0.376 0.054 Er
0.500 0.500 0.500 Er
0.624 0.624 0.946 Er
0.173 0.173 0.695 Bi
0.827 0.827 0.305 Bi
```

***

Record 16
DFT (PBE) results for crystalline AcPmSc at its relaxed geometry.

Results
Formation enthalpy at 0 K in meV/atom: 121
SG: No. 156
Size of the total moment in μB per atom: 0.0000
E above lowest polymorph in eV/atom: 0.021
N(E_F) in states/eV per atom: 1.58

Geometry as POSCAR:
```
AcPmSc
1.0
3.691 0.000 0.000
-1.846 3.197 0.000
0.000 0.000 8.703
Ac Pm Sc
1 1 1
direct
0.000 0.000 0.000 Ac
0.333 0.667 0.635 Pm
0.667 0.333 0.327 Sc
```

***

Record 17
DFT (PBE) results for crystalline PmPr2Y3Bi6 at its relaxed geometry.

Results
Formation enthalpy at 0 K in meV/atom: -923
SG: No. 12
Size of the total moment in μB per atom: 0.0000
N(E_F) in states/eV per atom: 0.17

Geometry as POSCAR:
```
PmPr2Y3Bi6
1.0
9.915 -2.278 0.000
9.915 2.278 0.000
-2.063 0.000 8.862
Pm Pr Y Bi
1 2 3 6
direct
0.000 0.000 0.000 Pm
0.334 0.334 0.667 Pr
0.666 0.666 0.333 Pr
0.000 0.000 0.500 Y
0.333 0.333 0.166 Y
0.667 0.667 0.834 Y
0.164 0.164 0.589 Bi
0.168 0.168 0.077 Bi
0.497 0.497 0.253 Bi
0.503 0.503 0.747 Bi
0.832 0.832 0.923 Bi
0.836 0.836 0.411 Bi
```

***

Record 18
DFT (PBE) results for crystalline Ho2MgSi2 at its relaxed geometry.

Results
SG: No. 127
Size of the total moment in μB per atom: 0.0000
Uncorrected formation energy in eV per formula unit: -3.57
N(E_F) in states/eV per atom: 0.31

Geometry as POSCAR:
```
Ho2MgSi2
1.0
7.144 0.000 0.000
0.000 7.144 0.000
0.000 0.000 4.192
Ho Mg Si
4 2 4
direct
0.178 0.322 0.000 Ho
0.322 0.822 0.000 Ho
0.678 0.178 0.000 Ho
0.822 0.678 0.000 Ho
0.000 0.000 0.500 Mg
0.500 0.500 0.500 Mg
0.118 0.618 0.500 Si
0.382 0.118 0.500 Si
0.618 0.882 0.500 Si
0.882 0.382 0.500 Si
```

***

Record 19
DFT (PBE) results for crystalline Nd6CuRh2I3 at its relaxed geometry.

Results
SG: No. 12
Size of the total moment in μB per atom: 0.0000
Uncorrected formation energy in eV per formula unit: -9.60
N(E_F) in states/eV per atom: 0.67

Geometry as POSCAR:
```
Nd6CuRh2I3
1.0
3.647 -6.315 0.000
3.647 6.315 0.000
-2.432 0.000 8.125
Nd Cu Rh I
6 1 2 3
direct
0.096 0.438 0.813 Nd
0.221 0.221 0.186 Nd
0.438 0.096 0.813 Nd
0.562 0.904 0.187 Nd
0.779 0.779 0.814 Nd
0.904 0.562 0.187 Nd
0.500 0.500 0.000 Cu
0.167 0.833 0.000 Rh
0.833 0.167 0.000 Rh
0.000 0.000 0.500 I
0.334 0.666 0.500 I
0.666 0.334 0.500 I
```

***

Record 20
DFT (PBE) results for crystalline Pr3SmGa2 at its relaxed geometry.

Results
Formation enthalpy at 0 K in meV/atom: -387
SG: No. 26
Size of the total moment in μB per atom: 0.0000
E above lowest polymorph in eV/atom: 0.000
N(E_F) in states/eV per atom: 1.04

Geometry as POSCAR:
```
Pr3SmGa2
1.0
5.212 0.000 0.000
0.000 9.775 0.000
0.000 0.000 6.755
Pr Sm Ga
6 2 4
direct
0.000 0.053 0.000 Pr
0.000 0.335 0.328 Pr
0.000 0.665 0.828 Pr
0.000 0.947 0.500 Pr
0.500 0.170 0.697 Pr
0.500 0.830 0.197 Pr
0.500 0.443 0.024 Sm
0.500 0.557 0.524 Sm
0.000 0.349 0.804 Ga
0.000 0.651 0.304 Ga
0.500 0.152 0.224 Ga
0.500 0.848 0.724 Ga
```

***

Record 21
DFT (PBE) results for crystalline AlCuRu2 at its relaxed geometry.

Results
Formation enthalpy at 0 K in meV/atom: 400
SG: No. 122
Size of the total moment in μB per atom: 0.0000
N(E_F) in states/eV per atom: 0.88

Geometry as POSCAR:
```
AlCuRu2
1.0
-3.407 3.407 2.540
3.407 -3.407 2.540
3.407 3.407 -2.540
Al Cu Ru
2 2 4
direct
0.000 0.000 0.000 Al
0.750 0.250 0.500 Al
0.250 0.750 0.500 Cu
0.500 0.500 0.000 Cu
0.119 0.625 0.994 Ru
0.375 0.369 0.494 Ru
0.631 0.125 0.006 Ru
0.875 0.881 0.506 Ru
```

***

Record 22
DFT (PBE) results for crystalline CrRu2Br at its relaxed geometry.

Results
SG: No. 47
Size of the total moment in μB per atom: 0.5434
E above lowest polymorph in eV/atom: 0.301
Uncorrected formation energy in eV per formula unit: 3.26
N(E_F) in states/eV per atom: 1.23

Geometry as POSCAR:
```
CrRu2Br
1.0
2.887 0.000 0.000
0.000 4.525 0.000
0.000 0.000 4.662
Cr Ru Br
1 2 1
direct
0.000 0.000 0.000 Cr
0.000 0.500 0.500 Ru
0.500 0.500 0.000 Ru
0.500 0.000 0.500 Br
```

***

Record 23
DFT (PBE) results for crystalline Mg6AgIr2 at its relaxed geometry.

Results
Formation enthalpy at 0 K in meV/atom: -270
SG: No. 136
Size of the total moment in μB per atom: 0.0000
E above lowest polymorph in eV/atom: 0.003
N(E_F) in states/eV per atom: 0.50

Geometry as POSCAR:
```
Mg6AgIr2
1.0
8.508 0.000 0.000
0.000 8.508 0.000
0.000 0.000 4.360
Mg Ag Ir
12 2 4
direct
0.025 0.317 0.000 Mg
0.138 0.862 0.500 Mg
0.183 0.525 0.500 Mg
0.317 0.025 0.000 Mg
0.362 0.362 0.000 Mg
0.475 0.817 0.500 Mg
0.525 0.183 0.500 Mg
0.638 0.638 0.000 Mg
0.683 0.975 0.000 Mg
0.817 0.475 0.500 Mg
0.862 0.138 0.500 Mg
0.975 0.683 0.000 Mg
0.000 0.000 0.000 Ag
0.500 0.500 0.500 Ag
0.197 0.197 0.500 Ir
0.303 0.697 0.000 Ir
0.697 0.303 0.000 Ir
0.803 0.803 0.500 Ir
```

***

Record 24
DFT (PBE) results for crystalline NaLi2Ca at its relaxed geometry.

Results
Formation enthalpy at 0 K in meV/atom: 94
SG: No. 8
Size of the total moment in μB per atom: 0.0000
E above lowest polymorph in eV/atom: 0.042
N(E_F) in states/eV per atom: 0.71

Geometry as POSCAR:
```
NaLi2Ca
1.0
3.158 -1.813 0.000
3.158 1.813 0.000
-2.070 0.000 10.950
Na Li Ca
1 2 1
direct
0.000 0.000 0.000 Na
0.414 0.414 0.247 Li
0.585 0.585 0.754 Li
0.168 0.168 0.500 Ca
```